[1]
Crystalline BI2BrN at its relaxed geometry. Source: Alexandria, functional PBEsol.

Properties
- E_form (uncorrected) (eV/atom) = 0.01
- M_tot (μB/f.u.) = 0.15
- VASP energy (eV per atom) = -4.1835
- V (Å³ per cell) = 151.2

Cell lengths 7.482, 7.482, 2.700 Å; angles 90.00, 90.00, 90.00 degrees
Element x y z (fractional)
B 0.000 0.000 0.000
I 0.000 0.500 0.000
I 0.500 0.000 0.000
Br 0.500 0.500 0.500
N 0.000 0.000 0.500

***

[2]
Crystalline BPI3Br3 at its relaxed geometry. Source: Alexandria, functional PBEsol.

Properties
- E_form (uncorrected) (eV/atom) = -0.29
- M_tot (μB/f.u.) = 0.00
- VASP energy (eV per atom) = -3.2542
- V (Å³ per cell) = 1121.9

Cell lengths 12.779, 11.792, 7.445 Å; angles 90.00, 90.00, 90.00 degrees
Element x y z (fractional)
B 0.138 0.250 0.243
B 0.362 0.750 0.743
B 0.638 0.250 0.257
B 0.862 0.750 0.757
P 0.173 0.250 0.981
P 0.327 0.750 0.481
P 0.673 0.250 0.519
P 0.827 0.750 0.019
I 0.015 0.250 0.801
I 0.224 0.586 0.397
I 0.224 0.914 0.397
I 0.276 0.086 0.897
I 0.276 0.414 0.897
I 0.485 0.750 0.301
I 0.515 0.250 0.699
I 0.724 0.586 0.103
I 0.724 0.914 0.103
I 0.776 0.086 0.603
I 0.776 0.414 0.603
I 0.985 0.750 0.199
Br 0.053 0.110 0.280
Br 0.053 0.390 0.280
Br 0.226 0.750 0.869
Br 0.274 0.250 0.369
Br 0.447 0.610 0.780
Br 0.447 0.890 0.780
Br 0.553 0.110 0.220
Br 0.553 0.390 0.220
Br 0.726 0.750 0.631
Br 0.774 0.250 0.131
Br 0.947 0.610 0.720
Br 0.947 0.890 0.720

***

[3]
Crystalline BTeI2Br at its relaxed geometry. Source: Alexandria, functional PBEsol.

Properties
- E_form (uncorrected) (eV/atom) = 0.64
- M_tot (μB/f.u.) = 0.00
- VASP energy (eV per atom) = -2.5463
- V (Å³ per cell) = 124.1

Cell lengths 4.942, 4.942, 5.083 Å; angles 90.00, 90.00, 90.00 degrees
Element x y z (fractional)
B 0.000 0.000 0.000
Te 0.000 0.000 0.500
I 0.000 0.500 0.000
I 0.500 0.000 0.000
Br 0.500 0.500 0.500

***

[4]
Crystalline InBBr2 at its relaxed geometry. Source: Alexandria, functional PBEsol.

Properties
- E_form (uncorrected) (eV/atom) = 0.55
- M_tot (μB/f.u.) = 0.00
- VASP energy (eV per atom) = -2.8895
- V (Å³ per cell) = 90.6

Cell lengths 9.215, 9.215, 9.215 Å; angles 21.32, 21.32, 21.32 degrees
Element x y z (fractional)
In 0.000 0.000 0.000
B 0.500 0.500 0.500
Br 0.113 0.113 0.113
Br 0.887 0.887 0.887